A geometry-optimized NdEu2Al structure. Source: Alexandria, functional PBE.

## Properties
**D(E_F)**: 3.66 states/eV/f.u.
**E_form**: -0.074 eV per atom
**Calculated density**: 6.4 Mg/m³
**Crystal system**: tetragonal
**Space-group type**: P4/mmm (123)

abc: 5.186 4.877 4.877
angles: 90.00 90.00 90.00
Each line ends with the local moment (μB).
Sites, in units of the cell vectors:
Eu (0.000, 0.000, 0.500)  6.89
Eu (0.000, 0.500, 0.000)  6.89
Al (0.500, 0.000, 0.000)  -0.03
Nd (0.500, 0.500, 0.500)  0.10

***

A geometry-optimized YZnBi2 structure. Source: Alexandria, functional PBE.

## Properties
**D(E_F)**: 2.69 states/eV/f.u.
**E_form**: 0.144 eV per atom
**Calculated density**: 7.9 Mg/m³
**Crystal system**: trigonal
**Space-group type**: R-3m (166)

abc: 3.621 3.621 10.750
angles: 80.31 80.31 60.00
Sites, in units of the cell vectors:
Zn (0.500, 0.500, 0.500)
Y (0.000, 0.000, 0.000)
Bi (0.900, 0.900, 0.301)
Bi (0.100, 0.100, 0.699)

***

A geometry-optimized Ac5NiSn4 structure. Source: Alexandria, functional PBE.

## Properties
**D(E_F)**: 8.56 states/eV/f.u.
**E_form**: -0.377 eV per atom
**Calculated density**: 7.9 Mg/m³
**Crystal system**: monoclinic
**Space-group type**: C2/m (12)

abc: 4.320 8.644 10.572
angles: 114.30 101.79 90.00
Sites, in units of the cell vectors:
Ac (0.809, 0.215, 0.618)
Ac (0.847, 0.694, 0.695)
Ac (0.191, 0.785, 0.382)
Ac (0.500, 0.500, 0.000)
Ac (0.153, 0.306, 0.305)
Sn (0.978, 0.167, 0.957)
Sn (0.370, 0.010, 0.741)
Sn (0.630, 0.990, 0.259)
Sn (0.022, 0.833, 0.043)
Ni (0.500, 0.000, 0.000)

***

A geometry-optimized In2HgBi2 structure. Source: Alexandria, functional PBE.

## Properties
**D(E_F)**: 1.86 states/eV/f.u.
**E_form**: 0.067 eV per atom
**Calculated density**: 8.3 Mg/m³
**Crystal system**: tetragonal
**Space-group type**: I4/mmm (139)

abc: 4.775 4.775 8.183
angles: 73.04 73.04 90.00
Sites, in units of the cell vectors:
In (0.750, 0.250, 0.500)
In (0.250, 0.750, 0.500)
Bi (0.618, 0.618, 0.764)
Bi (0.382, 0.382, 0.236)
Hg (0.000, 0.000, 0.000)

***

A geometry-optimized CdMo2As structure. Source: Alexandria, functional PBE.

## Properties
**D(E_F)**: 3.35 states/eV/f.u.
**E_form**: 0.352 eV per atom
**Calculated density**: 9.2 Mg/m³
**Crystal system**: monoclinic
**Space-group type**: C2/m (12)

abc: 5.319 5.319 4.761
angles: 63.26 63.26 35.13
Sites, in units of the cell vectors:
Mo (0.530, 0.530, 0.471)
Mo (0.970, 0.970, 0.029)
As (0.250, 0.250, 0.250)
Cd (0.750, 0.750, 0.750)

***

A geometry-optimized Nd4BeCl5 structure. Source: Alexandria, functional PBE.

## Properties
**E_form (uncorrected)**: -1.5261 eV per atom
**D(E_F)**: 3.35 states/eV/f.u.
**Calculated density**: 4.3 Mg/m³
**Crystal system**: monoclinic
**Space-group type**: C2/m (12)

abc: 3.942 8.516 9.305
angles: 76.37 102.23 90.00
Sites, in units of the cell vectors:
Nd (0.001, 0.234, 0.002)
Nd (0.654, 0.910, 0.307)
Nd (0.346, 0.090, 0.693)
Nd (0.999, 0.766, 0.998)
Cl (0.836, 0.333, 0.672)
Cl (0.500, 0.500, 0.000)
Cl (0.171, 0.150, 0.342)
Cl (0.829, 0.850, 0.658)
Cl (0.164, 0.667, 0.328)
Be (0.500, 0.000, 0.000)

***

A geometry-optimized ZrScPt2 structure. Source: Alexandria, functional PBE.

## Properties
**D(E_F)**: 1.87 states/eV/f.u.
**E_form**: -0.897 eV per atom
**Calculated density**: 10.6 Mg/m³
**Crystal system**: monoclinic
**Space-group type**: P2/m (10)

abc: 3.867 6.761 5.491
angles: 35.00 90.00 90.00
Sites, in units of the cell vectors:
Zr (0.000, 0.000, 0.500)
Pt (0.000, 0.000, 0.000)
Pt (0.500, 0.500, 0.000)
Sc (0.500, 0.500, 0.500)

***

A geometry-optimized Ca2ThReN4 structure. Source: Alexandria, functional PBE.

## Properties
**E_form (uncorrected)**: -0.7141 eV per atom
**D(E_F)**: 4.21 states/eV/f.u.
**Calculated density**: 7.6 Mg/m³
**Crystal system**: orthorhombic
**Space-group type**: Cmcm (63)

abc: 3.485 6.096 11.909
angles: 90.00 90.00 106.61
Sites, in units of the cell vectors:
Ca (0.372, 0.743, 0.536)
Ca (0.372, 0.743, 0.964)
Ca (0.628, 0.257, 0.464)
Ca (0.628, 0.257, 0.036)
N (0.274, 0.548, 0.363)
N (0.726, 0.452, 0.637)
N (0.000, 0.000, 0.500)
N (0.431, 0.862, 0.750)
N (0.000, 0.000, 0.000)
N (0.274, 0.548, 0.137)
N (0.569, 0.138, 0.250)
N (0.726, 0.452, 0.863)
Th (0.900, 0.801, 0.250)
Th (0.100, 0.199, 0.750)
Re (0.840, 0.681, 0.750)
Re (0.160, 0.319, 0.250)

***

A geometry-optimized RbErAs structure. Source: Alexandria, functional PBE.

## Properties
**D(E_F)**: 1.58 states/eV/f.u.
**E_form**: -0.517 eV per atom
**Calculated density**: 4.2 Mg/m³
**Crystal system**: trigonal
**Space-group type**: P3m1 (156)

abc: 4.375 4.375 7.726
angles: 90.00 90.00 120.00
Sites, in units of the cell vectors:
Er (0.667, 0.333, 0.464)
Rb (0.000, 0.000, 0.930)
As (0.333, 0.667, 0.605)

***

A geometry-optimized KCaRh structure. Source: Alexandria, functional PBE.

## Properties
**D(E_F)**: 2.53 states/eV/f.u.
**E_form**: -0.104 eV per atom
**Calculated density**: 2.7 Mg/m³
**Crystal system**: triclinic
**Space-group type**: P-1 (2)

abc: 4.330 4.485 11.751
angles: 90.02 100.55 90.00
Each line ends with the local moment (μB).
Sites, in units of the cell vectors:
Ca (0.942, 0.750, 0.382)  -0.01
Ca (0.058, 0.250, 0.618)  -0.01
Rh (0.478, 0.250, 0.455)  0.23
Rh (0.522, 0.750, 0.545)  0.23
K (0.675, 0.751, 0.852)  0.00
K (0.325, 0.249, 0.148)  0.00

***

A geometry-optimized AcCeAs2 structure. Source: Alexandria, functional PBE.

## Properties
**D(E_F)**: 5.55 states/eV/f.u.
**E_form**: -1.409 eV per atom
**Calculated density**: 7.2 Mg/m³
**Crystal system**: hexagonal
**Space-group type**: P6_3/mmc (194)

abc: 4.347 4.347 14.486
angles: 90.00 90.00 120.00
Each line ends with the local moment (μB).
Sites, in units of the cell vectors:
Ce (0.000, 0.000, 0.500)  0.64
Ce (0.000, 0.000, 0.000)  0.64
As (0.667, 0.333, 0.887)  -0.02
As (0.333, 0.667, 0.113)  -0.02
As (0.667, 0.333, 0.613)  -0.02
As (0.333, 0.667, 0.387)  -0.02
Ac (0.333, 0.667, 0.750)  0.02
Ac (0.667, 0.333, 0.250)  0.02

***

A geometry-optimized PrEu3F structure. Source: Alexandria, functional PBE.

## Properties
**E_form (uncorrected)**: -0.9861 eV per atom
**D(E_F)**: 3.58 states/eV/f.u.
**Calculated density**: 6.5 Mg/m³
**Crystal system**: cubic
**Space-group type**: Pm-3m (221)

abc: 5.410 5.410 5.410
angles: 90.00 90.00 90.00
Each line ends with the local moment (μB).
Sites, in units of the cell vectors:
F (0.000, 0.000, 0.000)  0.00
Pr (0.500, 0.500, 0.500)  0.27
Eu (0.000, 0.000, 0.500)  6.98
Eu (0.000, 0.500, 0.000)  6.98
Eu (0.500, 0.000, 0.000)  6.98

***

A geometry-optimized CsAgB2 structure. Source: Alexandria, functional PBE.

## Properties
**D(E_F)**: 0.14 states/eV/f.u.
**E_form**: 1.284 eV per atom
**Calculated density**: 4.3 Mg/m³
**Crystal system**: tetragonal
**Space-group type**: I4_1/amd (141)

abc: 5.889 5.889 7.178
angles: 65.78 65.78 90.00
Sites, in units of the cell vectors:
Ag (0.250, 0.750, 0.500)
Ag (0.500, 0.500, 0.000)
B (0.375, 0.125, 0.250)
B (0.375, 0.625, 0.750)
B (0.375, 0.625, 0.250)
B (0.875, 0.625, 0.750)
Cs (0.750, 0.250, 0.500)
Cs (0.000, 0.000, 0.000)

***

A geometry-optimized NaPdI structure. Source: Alexandria, functional PBE.

## Properties
**E_form (uncorrected)**: -0.5299 eV per atom
**D(E_F)**: 0.00 states/eV/f.u.
**Calculated density**: 4.7 Mg/m³
**Crystal system**: monoclinic
**Space-group type**: P2_1 (4)

abc: 4.458 5.646 7.483
angles: 90.00 72.30 90.00
Sites, in units of the cell vectors:
Pd (0.001, 0.733, 0.497)
Pd (0.999, 0.233, 0.503)
Na (0.610, 0.479, 0.285)
Na (0.390, 0.979, 0.715)
I (0.851, 0.489, 0.808)
I (0.149, 0.989, 0.192)

***

A geometry-optimized Ce4HSe3 structure. Source: Alexandria, functional PBE.

## Properties
**D(E_F)**: 24.43 states/eV/f.u.
**VASP energy**: -6.0297 eV/atom
**Calculated density**: 6.8 Mg/m³
**Crystal system**: orthorhombic
**Space-group type**: Cmmm (65)

abc: 4.076 7.136 7.136
angles: 109.10 90.00 90.00
Each line ends with the local moment (μB).
Sites, in units of the cell vectors:
Ce (0.500, 0.244, 0.756)  0.75
Ce (0.000, 0.764, 0.764)  0.94
Ce (0.000, 0.236, 0.236)  0.94
Ce (0.500, 0.756, 0.244)  0.75
Se (0.500, 0.500, 0.500)  -0.01
Se (0.000, 0.000, 0.500)  -0.02
Se (0.000, 0.500, 0.000)  -0.02
H (0.500, 0.000, 0.000)  -0.01

***

A geometry-optimized NaPaZn4 structure. Source: Alexandria, functional PBE.

## Properties
**D(E_F)**: 3.84 states/eV/f.u.
**E_form**: 0.093 eV per atom
**Calculated density**: 7.6 Mg/m³
**Crystal system**: cubic
**Space-group type**: F-43m (216)

abc: 5.414 5.414 5.414
angles: 60.00 60.00 60.00
Sites, in units of the cell vectors:
Zn (0.626, 0.626, 0.626)
Zn (0.626, 0.123, 0.626)
Zn (0.626, 0.626, 0.123)
Zn (0.123, 0.626, 0.626)
Na (0.250, 0.250, 0.250)
Pa (0.000, 0.000, 0.000)

***

A geometry-optimized AgPSe2 structure. Source: Alexandria, functional PBE.

## Properties
**E_form (uncorrected)**: 0.0315 eV per atom
**D(E_F)**: 0.72 states/eV/f.u.
**Calculated density**: 5.2 Mg/m³
**Crystal system**: monoclinic
**Space-group type**: Cm (8)

abc: 6.512 6.512 4.213
angles: 85.21 85.21 32.43
Sites, in units of the cell vectors:
Se (0.754, 0.754, 0.476)
Se (0.026, 0.026, 0.847)
P (0.208, 0.208, 0.837)
Ag (0.512, 0.512, 0.339)

***

A geometry-optimized Be2P2I structure. Source: Alexandria, functional PBE.

## Properties
**E_form (uncorrected)**: 0.5133 eV per atom
**D(E_F)**: 3.20 states/eV/f.u.
**Calculated density**: 3.6 Mg/m³
**Crystal system**: tetragonal
**Space-group type**: P4/mbm (127)

abc: 7.767 7.767 3.184
angles: 90.00 90.00 90.00
Sites, in units of the cell vectors:
P (0.893, 0.393, 0.500)
P (0.107, 0.607, 0.500)
P (0.607, 0.893, 0.500)
P (0.393, 0.107, 0.500)
Be (0.901, 0.599, 0.000)
Be (0.401, 0.901, 0.000)
Be (0.599, 0.099, 0.000)
Be (0.099, 0.401, 0.000)
I (0.000, 0.000, 0.000)
I (0.500, 0.500, 0.000)

***

A geometry-optimized SbPb2Cl structure. Source: Alexandria, functional PBE.

## Properties
**E_form (uncorrected)**: -0.1118 eV per atom
**D(E_F)**: 1.03 states/eV/f.u.
**Calculated density**: 8.5 Mg/m³
**Crystal system**: cubic
**Space-group type**: F-43m (216)

abc: 5.410 5.410 5.410
angles: 60.00 60.00 60.00
Sites, in units of the cell vectors:
Sb (0.750, 0.750, 0.750)
Pb (0.250, 0.250, 0.250)
Pb (0.000, 0.000, 0.000)
Cl (0.500, 0.500, 0.500)

***

A geometry-optimized FeCuTe2N structure. Source: Alexandria, functional PBE.

## Properties
**E_form (uncorrected)**: 0.3426 eV per atom
**D(E_F)**: 2.57 states/eV/f.u.
**Calculated density**: 7.0 Mg/m³
**Crystal system**: tetragonal
**Space-group type**: P4/mmm (123)

abc: 5.249 5.249 3.360
angles: 90.00 90.00 90.00
Sites, in units of the cell vectors:
N (0.000, 0.000, 0.500)
Cu (0.500, 0.500, 0.500)
Te (0.500, 0.000, 0.000)
Te (0.000, 0.500, 0.000)
Fe (0.000, 0.000, 0.000)

***

A geometry-optimized MoAsHSe2 structure. Source: Alexandria, functional PBE.

## Properties
**D(E_F)**: 3.58 states/eV/f.u.
**VASP energy**: -4.4967 eV/atom
**Calculated density**: 4.6 Mg/m³
**Crystal system**: tetragonal
**Space-group type**: P4/mmm (123)

abc: 4.924 4.924 4.935
angles: 90.00 90.00 90.00
Each line ends with the local moment (μB).
Sites, in units of the cell vectors:
As (0.000, 0.000, 0.500)  -0.02
Se (0.000, 0.500, 0.000)  0.00
Se (0.500, 0.000, 0.000)  0.00
H (0.500, 0.500, 0.500)  0.35
Mo (0.000, 0.000, 0.000)  0.03

***

A geometry-optimized RbMgCdCl5 structure. Source: Alexandria, functional PBE.

## Properties
**E_form (uncorrected)**: -1.5858 eV per atom
**D(E_F)**: 0.00 states/eV/f.u.
**Calculated density**: 2.8 Mg/m³
**Crystal system**: monoclinic
**Space-group type**: C2/c (15)

abc: 7.497 7.497 9.499
angles: 102.72 102.72 106.94
Sites, in units of the cell vectors:
Cl (0.636, 0.765, 0.938)
Cl (0.699, 0.088, 0.411)
Cl (0.301, 0.912, 0.589)
Cl (0.235, 0.364, 0.562)
Cl (0.912, 0.301, 0.089)
Cl (0.364, 0.235, 0.062)
Cl (0.765, 0.636, 0.438)
Cl (0.058, 0.942, 0.250)
Cl (0.088, 0.699, 0.911)
Cl (0.942, 0.058, 0.750)
Rb (0.336, 0.664, 0.250)
Rb (0.664, 0.336, 0.750)
Cd (0.310, 0.690, 0.750)
Cd (0.690, 0.310, 0.250)
Mg (0.000, 0.000, 0.500)
Mg (0.000, 0.000, 0.000)